Material: Rb2BaLiF6
Method: DFT, GGA-PBE
State: optimized geometry

Lattice parameters (Å, degrees): 6.463 6.463 6.462 59.99 59.99 90.00
Element x y z (fractional)
F 0.727 0.273 0.000
F 0.273 0.273 0.000
F 0.727 0.727 0.546
F 0.727 0.727 0.000
F 0.273 0.273 0.454
F 0.273 0.727 0.000
Rb 0.750 0.250 0.500
Rb 0.250 0.750 0.500
Li 0.500 0.500 0.000
Ba 0.000 0.000 0.000

Space group: Fm-3m, No. 225
ΔE_f (raw), eV/atom: -2.717